# BaSc4Co, optimized geometry, DFT PBE
# Total DFT energy (no corrections) ... -4.998 eV per atom
# M_tot ... 1.8 μB per formula unit
# N(E_F) ... 2.433 states/eV per atom
data_BaSc4Co
_chemical_formula_sum 'Ba1 Sc4 Co1'
_cell_length_a 6.097
_cell_length_b 6.097
_cell_length_c 6.097
_cell_angle_alpha 60.00
_cell_angle_beta 60.00
_cell_angle_gamma 60.00
_space_group_name_H-M_alt 'P 1'
_space_group_IT_number 1
_space_group_name_Hall 'P 1'
loop_
_atom_site_label
_atom_site_type_symbol
_atom_site_fract_x
_atom_site_fract_y
_atom_site_fract_z
Ba1 Ba 0.000 0.000 0.000
Sc1 Sc 0.378 0.378 0.378
Sc2 Sc 0.378 0.378 0.867
Sc3 Sc 0.378 0.867 0.378
Sc4 Sc 0.867 0.378 0.378
Co1 Co 0.750 0.750 0.750

***

# BaScCo4, optimized geometry, DFT PBE
# Total DFT energy (no corrections) ... -5.831 eV per atom
# M_tot ... 4.4 μB per formula unit
# N(E_F) ... 1.935 states/eV per atom
data_BaScCo4
_chemical_formula_sum 'Ba1 Sc1 Co4'
_cell_length_a 5.155
_cell_length_b 5.155
_cell_length_c 5.155
_cell_angle_alpha 60.00
_cell_angle_beta 60.00
_cell_angle_gamma 60.00
_space_group_name_H-M_alt 'P 1'
_space_group_IT_number 1
_space_group_name_Hall 'P 1'
loop_
_atom_site_label
_atom_site_type_symbol
_atom_site_fract_x
_atom_site_fract_y
_atom_site_fract_z
Ba1 Ba 0.000 0.000 0.000
Sc1 Sc 0.250 0.250 0.250
Co1 Co 0.132 0.623 0.623
Co2 Co 0.623 0.132 0.623
Co3 Co 0.623 0.623 0.132
Co4 Co 0.623 0.623 0.623

***

# Ba3ScCo, optimized geometry, DFT PBE
# Total DFT energy (no corrections) ... -3.316 eV per atom
# M_tot ... 0.0 μB per formula unit
# N(E_F) ... 0.881 states/eV per atom
data_Ba3ScCo
_chemical_formula_sum 'Ba3 Sc1 Co1'
_cell_length_a 5.932
_cell_length_b 5.932
_cell_length_c 5.932
_cell_angle_alpha 90.00
_cell_angle_beta 90.00
_cell_angle_gamma 90.00
_space_group_name_H-M_alt 'P 1'
_space_group_IT_number 1
_space_group_name_Hall 'P 1'
loop_
_atom_site_label
_atom_site_type_symbol
_atom_site_fract_x
_atom_site_fract_y
_atom_site_fract_z
Ba1 Ba 0.000 0.000 0.500
Ba2 Ba 0.000 0.500 0.000
Ba3 Ba 0.500 0.000 0.000
Sc1 Sc 0.500 0.500 0.500
Co1 Co 0.000 0.000 0.000

***

# BaYSc2Co, optimized geometry, DFT PBE
# Total DFT energy (no corrections) ... -5.615 eV per atom
# M_tot ... 0.0 μB per formula unit
# N(E_F) ... 1.323 states/eV per atom
data_BaYSc2Co
_chemical_formula_sum 'Ba1 Y1 Sc2 Co1'
_cell_length_a 5.145
_cell_length_b 5.145
_cell_length_c 5.356
_cell_angle_alpha 90.00
_cell_angle_beta 90.00
_cell_angle_gamma 90.00
_space_group_name_H-M_alt 'P 1'
_space_group_IT_number 1
_space_group_name_Hall 'P 1'
loop_
_atom_site_label
_atom_site_type_symbol
_atom_site_fract_x
_atom_site_fract_y
_atom_site_fract_z
Ba1 Ba 0.000 0.000 0.000
Y1 Y 0.500 0.500 0.000
Sc1 Sc 0.000 0.500 0.500
Sc2 Sc 0.500 0.000 0.500
Co1 Co 0.500 0.500 0.500

***

# BaCo2Se2, optimized geometry, DFT PBE
# Total DFT energy (no corrections) ... -5.305 eV per atom
# M_tot ... 2.8 μB per formula unit
# N(E_F) ... 0.755 states/eV per atom
# Uncorrected formation energy ... -0.685 eV/atom
data_BaCo2Se2
_chemical_formula_sum 'Ba1 Co2 Se2'
_cell_length_a 6.848
_cell_length_b 6.848
_cell_length_c 6.848
_cell_angle_alpha 145.71
_cell_angle_beta 145.71
_cell_angle_gamma 49.28
_space_group_name_H-M_alt 'P 1'
_space_group_IT_number 1
_space_group_name_Hall 'P 1'
loop_
_atom_site_label
_atom_site_type_symbol
_atom_site_fract_x
_atom_site_fract_y
_atom_site_fract_z
Ba1 Ba 0.000 0.000 0.000
Co1 Co 0.250 0.750 0.500
Co2 Co 0.750 0.250 0.500
Se1 Se 0.352 0.352 0.000
Se2 Se 0.648 0.648 0.000

***

# BaCo6Se8, optimized geometry, DFT PBE
# Total DFT energy (no corrections) ... -5.250 eV per atom
# M_tot ... 0.0 μB per formula unit
# N(E_F) ... 0.665 states/eV per atom
# Uncorrected formation energy ... -0.421 eV/atom
data_BaCo6Se8
_chemical_formula_sum 'Ba1 Co6 Se8'
_cell_length_a 6.611
_cell_length_b 6.611
_cell_length_c 6.611
_cell_angle_alpha 88.61
_cell_angle_beta 88.61
_cell_angle_gamma 88.61
_space_group_name_H-M_alt 'P 1'
_space_group_IT_number 1
_space_group_name_Hall 'P 1'
loop_
_atom_site_label
_atom_site_type_symbol
_atom_site_fract_x
_atom_site_fract_y
_atom_site_fract_z
Ba1 Ba 0.000 0.000 0.000
Co1 Co 0.189 0.570 0.404
Co2 Co 0.404 0.189 0.570
Co3 Co 0.430 0.596 0.811
Co4 Co 0.570 0.404 0.189
Co5 Co 0.596 0.811 0.430
Co6 Co 0.811 0.430 0.596
Se1 Se 0.145 0.395 0.725
Se2 Se 0.263 0.263 0.263
Se3 Se 0.275 0.855 0.605
Se4 Se 0.395 0.725 0.145
Se5 Se 0.605 0.275 0.855
Se6 Se 0.725 0.145 0.395
Se7 Se 0.737 0.737 0.737
Se8 Se 0.855 0.605 0.275

***

Which value of N(E_F) does entry 2 give? 1.935 states/eV per atom

***

Copy entry 4 word for word.
# BaYSc2Co, optimized geometry, DFT PBE
# Total DFT energy (no corrections) ... -5.615 eV per atom
# M_tot ... 0.0 μB per formula unit
# N(E_F) ... 1.323 states/eV per atom
data_BaYSc2Co
_chemical_formula_sum 'Ba1 Y1 Sc2 Co1'
_cell_length_a 5.145
_cell_length_b 5.145
_cell_length_c 5.356
_cell_angle_alpha 90.00
_cell_angle_beta 90.00
_cell_angle_gamma 90.00
_space_group_name_H-M_alt 'P 1'
_space_group_IT_number 1
_space_group_name_Hall 'P 1'
loop_
_atom_site_label
_atom_site_type_symbol
_atom_site_fract_x
_atom_site_fract_y
_atom_site_fract_z
Ba1 Ba 0.000 0.000 0.000
Y1 Y 0.500 0.500 0.000
Sc1 Sc 0.000 0.500 0.500
Sc2 Sc 0.500 0.000 0.500
Co1 Co 0.500 0.500 0.500

***

Repeat the fifth record exactly.
# BaCo2Se2, optimized geometry, DFT PBE
# Total DFT energy (no corrections) ... -5.305 eV per atom
# M_tot ... 2.8 μB per formula unit
# N(E_F) ... 0.755 states/eV per atom
# Uncorrected formation energy ... -0.685 eV/atom
data_BaCo2Se2
_chemical_formula_sum 'Ba1 Co2 Se2'
_cell_length_a 6.848
_cell_length_b 6.848
_cell_length_c 6.848
_cell_angle_alpha 145.71
_cell_angle_beta 145.71
_cell_angle_gamma 49.28
_space_group_name_H-M_alt 'P 1'
_space_group_IT_number 1
_space_group_name_Hall 'P 1'
loop_
_atom_site_label
_atom_site_type_symbol
_atom_site_fract_x
_atom_site_fract_y
_atom_site_fract_z
Ba1 Ba 0.000 0.000 0.000
Co1 Co 0.250 0.750 0.500
Co2 Co 0.750 0.250 0.500
Se1 Se 0.352 0.352 0.000
Se2 Se 0.648 0.648 0.000